# 1
# Zr8Co2Ge

A relaxed structure of Zr8Co2Ge (GGA-PBE, Alexandria).

Summary:
The calculation puts the density of states at the Fermi level at 13.0 states/eV/cell. The total magnetization is 0.00 μB/cell. The value obtained for the formation energy from the elements is -152 kJ/mol of formula units.

Cell lengths 4.738, 7.373, 7.373 Å; angles 115.53, 98.16, 98.16 degrees
Fractional coordinates of all 11 atoms:
Co 0.473 0.295 0.670
Zr 0.582 0.085 0.323
Zr 0.999 0.262 0.782
Zr 0.440 0.685 0.927
Zr 0.582 0.323 0.085
Co 0.473 0.670 0.295
Zr 0.821 0.615 0.615
Zr 0.999 0.782 0.262
Zr 0.440 0.927 0.685
Ge 0.008 0.003 0.003
Zr 0.185 0.388 0.388

***

# 2
# SmZnGa2Au

A relaxed structure of SmZnGa2Au (GGA-PBE, Alexandria).

Summary:
The calculation puts the density of states at the Fermi level at 2.2 states/eV/cell. The total magnetization is 0.00 μB/cell. The value obtained for the formation energy from the elements is -268 kJ/mol of formula units.

Cell lengths 4.257, 4.257, 6.193 Å; angles 110.10, 110.10, 90.00 degrees
Fractional coordinates of all 5 atoms:
Au 0.250 0.750 0.500
Ga 0.613 0.613 0.225
Ga 0.387 0.387 0.775
Sm 0.000 0.000 0.000
Zn 0.750 0.250 0.500

***

# 3
# Tl2VCuHg

A relaxed structure of Tl2VCuHg (GGA-PBE, Alexandria).

Summary:
The calculation puts the density of states at the Fermi level at 6.3 states/eV/cell. The total magnetization is 4.00 μB/cell. The value obtained for the formation energy from the elements is 568 kJ/mol of formula units.

Cell lengths 5.657, 5.348, 5.657 Å; angles 90.00, 90.00, 90.00 degrees
Fractional coordinates of all 5 atoms:
Cu 0.500 0.500 0.500
Tl 0.000 0.000 0.500
V 0.000 0.500 0.000
Hg 0.000 0.000 0.000
Tl 0.500 0.000 0.000

***

# 4
# KCd2Co

A relaxed structure of KCd2Co (GGA-PBE, Alexandria).

Summary:
The energy above the most stable polymorph in this dataset is 2.06 kcal/mol of atoms. The calculation puts the density of states at the Fermi level at 3.4 states/eV/cell. The total magnetization is 1.26 μB/cell. The value obtained for the formation energy from the elements is 157 kJ/mol of formula units.

Cell lengths 4.656, 4.656, 7.620 Å; angles 84.47, 84.47, 37.12 degrees
Fractional coordinates of all 4 atoms:
K 0.250 0.250 0.250
Cd 0.021 0.021 0.920
Co 0.750 0.750 0.750
Cd 0.479 0.479 0.580

***

# 5
# SbBr3Cl

A relaxed structure of SbBr3Cl (GGA-PBE, Alexandria).

Summary:
The energy above the most stable polymorph in this dataset is 0.00 kcal/mol of atoms. The total magnetization is 0.00 μB/cell. The formation energy from raw total energies is -2.20 eV/f.u.

Cell lengths 6.587, 8.100, 7.781 Å; angles 89.99, 89.99, 73.01 degrees
Fractional coordinates of all 10 atoms:
Sb 0.177 0.666 0.701
Sb 0.659 0.667 0.201
Br 0.546 0.390 0.201
Br 0.948 0.521 0.441
Br 0.371 0.827 0.964
Cl 0.778 0.921 0.201
Br 0.948 0.521 0.960
Cl 0.473 0.403 0.701
Br 0.983 0.020 0.701
Br 0.371 0.827 0.438